Ge2MoIrO PBE with a Hubbard U relaxed; crystal system = tetragonal; energy = -29.384 eV for the cell shown; theoretical density = 9.49 Mg/m³; SG = No. 123
1.0
-2.009 2.651 -2.776
0.900 -2.614 -3.147
-3.724 -2.106 0.684
Mo Ir Ge O
1 1 2 1
Cartesian
0.450 -1.307 -1.574
-2.416 -1.034 -2.620
-1.862 -1.053 0.342
-1.004 1.325 -1.388
0.000 0.000 0.000